# 1
The following is a PBE calculation of a relaxed LaCdRe2 crystal, from the Alexandria database.

a = 2.9437 Å, b = 2.9437 Å, c = 31.4363 Å
α = 90.00°, β = 90.00°, γ = 120.00°
Space group R3m (No. 160, hexagonal axes)
One atom of each set of equivalent atoms:
La 0.0000 0.0000 0.0000
Cd 0.0000 0.0000 0.2323
Re 0.0000 0.0000 0.4857
Re 0.0000 0.0000 0.7550

Total magnetic moment = 0.5 μB per formula unit
Formation energy = 435 meV/atom



# 2
The following is a PBE calculation of a relaxed BeGaCo2N crystal, from the Alexandria database.

a = 3.8417 Å, b = 3.8417 Å, c = 4.0819 Å
α = 90.00°, β = 90.00°, γ = 90.00°
Space group P4/mmm (No. 123)
One atom of each set of equivalent atoms:
Be 0.0000 0.0000 0.0000
Ga 0.0000 0.0000 0.5000
Co 0.0000 0.5000 0.0000
N 0.5000 0.5000 0.5000

E above lowest polymorph = 0.00 eV/f.u.
Total magnetic moment = 2.2 μB per formula unit



# 3
The following is a PBE calculation of a relaxed BaLa2Y2 crystal, from the Alexandria database.

a = 10.2453 Å, b = 10.2453 Å, c = 3.7412 Å
α = 90.00°, β = 90.00°, γ = 90.00°
Space group P4/mbm (No. 127)
One atom of each set of equivalent atoms:
Ba 0.0000 0.0000 0.0000
La 0.1736 0.3264 0.5000
Y 0.1183 0.6183 0.0000

E above lowest polymorph = 0.00 eV/f.u.
Total magnetic moment = 0.0 μB per formula unit
Formation energy = 127 meV/atom



# 4
The following is a PBE calculation of a relaxed Li2AcPmAu4 crystal, from the Alexandria database.

a = 4.6134 Å, b = 4.6134 Å, c = 29.7603 Å
α = 90.00°, β = 90.00°, γ = 120.00°
Space group R-3m (No. 166, hexagonal axes)
One atom of each set of equivalent atoms:
Li 0.0000 0.0000 0.2436
Ac 0.0000 0.0000 0.0000
Pm 0.0000 0.0000 0.5000
Au 0.0000 0.0000 0.1117
Au 0.0000 0.0000 0.3963

Total magnetic moment = 0.0 μB per formula unit
Formation energy = -718 meV/atom



# 5
The following is a PBE calculation of a relaxed PrErN crystal, from the Alexandria database.

a = 4.7373 Å, b = 4.7373 Å, c = 7.8223 Å
α = 90.00°, β = 90.00°, γ = 90.00°
Space group I4mm (No. 107)
One atom of each set of equivalent atoms:
Pr 0.0000 0.0000 0.0000
Er 0.0000 0.0000 0.5352
N 0.0000 0.0000 0.2766

E above lowest polymorph = 3.38 eV/f.u.
Total magnetic moment = 0.0 μB per formula unit



# 6
The following is a PBE calculation of a relaxed Ta5VH6 crystal, from the Alexandria database.

a = 5.5105 Å, b = 8.6755 Å, c = 5.4837 Å
α = 90.00°, β = 116.81°, γ = 90.00°
Space group C2/m (No. 12)
One atom of each set of equivalent atoms:
Ta 0.0000 0.0000 0.0000
Ta 0.0000 0.1668 0.5000
Ta 0.0000 0.3348 0.0000
V 0.0000 0.5000 0.5000
H 0.2093 0.5000 0.2961
H 0.2185 0.3403 0.7619

DFT total energy = -7.4486 eV/atom
Total magnetic moment = 0.0 μB per formula unit



# 7
The following is a PBE calculation of a relaxed La2Os3 crystal, from the Alexandria database.

a = 5.0415 Å, b = 10.7284 Å, c = 8.3837 Å
α = 90.00°, β = 90.00°, γ = 90.00°
Space group Cmce (No. 64)
One atom of each set of equivalent atoms:
La 0.0000 0.1532 0.0942
Os 0.0000 0.0000 0.5000
Os 0.2500 0.0908 0.7500

E above lowest polymorph = 0.03 eV/f.u.
Total magnetic moment = 0.0 μB per formula unit
Formation energy = -61 meV/atom



# 8
The following is a PBE calculation of a relaxed KPtAu crystal, from the Alexandria database.

a = 5.0515 Å, b = 5.0515 Å, c = 2.9110 Å
α = 90.00°, β = 90.00°, γ = 120.00°
Space group P-6m2 (No. 187)
One atom of each set of equivalent atoms:
K 0.0000 0.0000 0.0000
Pt 0.3333 0.6667 0.5000
Au 0.6667 0.3333 0.5000

E above lowest polymorph = 1.21 eV/f.u.
Total magnetic moment = 0.0 μB per formula unit
Formation energy = 151 meV/atom



# 9
The following is a PBE calculation of a relaxed Li2ReRu crystal, from the Alexandria database.

a = 5.1860 Å, b = 9.4448 Å, c = 2.6296 Å
α = 90.00°, β = 117.99°, γ = 90.00°
Space group C2/m (No. 12)
One atom of each set of equivalent atoms:
Li 0.2500 0.2500 0.0000
Re 0.0000 0.0000 0.5000
Ru 0.0000 0.5000 0.5000

E above lowest polymorph = 0.44 eV/f.u.
Total magnetic moment = 0.0 μB per formula unit
Formation energy = 266 meV/atom



# 10
The following is a PBE calculation of a relaxed Er3CuNi2 crystal, from the Alexandria database.

a = 11.3770 Å, b = 3.8648 Å, c = 11.1372 Å
α = 90.00°, β = 90.00°, γ = 90.00°
Space group Pnma (No. 62)
One atom of each set of equivalent atoms:
Er 0.0525 0.2500 0.1270
Er 0.1233 0.7500 0.5718
Er 0.2049 0.2500 0.8225
Cu 0.1243 0.2500 0.3796
Ni 0.0106 0.7500 0.3074
Ni 0.1884 0.7500 0.0022

Total magnetic moment = 0.0 μB per formula unit
Formation energy = -361 meV/atom



# 11
The following is a PBE calculation of a relaxed SrY3Ir crystal, from the Alexandria database.

a = 20.1178 Å, b = 3.8778 Å, c = 8.2864 Å
α = 90.00°, β = 93.26°, γ = 90.00°
Space group C2/m (No. 12)
One atom of each set of equivalent atoms:
Sr 0.0258 0.0000 0.2103
Y 0.0996 0.5000 0.5687
Y 0.1705 0.5000 0.9615
Y 0.2130 0.0000 0.3408
Ir 0.1877 0.0000 0.7032

E above lowest polymorph = 0.16 eV/f.u.
Total magnetic moment = 0.4 μB per formula unit
Formation energy = -339 meV/atom



# 12
The following is a PBE calculation of a relaxed Sr2Bi2P crystal, from the Alexandria database.

a = 8.1178 Å, b = 8.1178 Å, c = 4.9523 Å
α = 90.00°, β = 90.00°, γ = 90.00°
Space group P4/mbm (No. 127)
One atom of each set of equivalent atoms:
Sr 0.1715 0.3285 0.0000
Bi 0.1394 0.6394 0.5000
P 0.0000 0.0000 0.5000

Total magnetic moment = 0.0 μB per formula unit
Formation energy = -444 meV/atom



# 13
The following is a PBE calculation of a relaxed ScIr2Se2 crystal, from the Alexandria database.

a = 3.9741 Å, b = 3.9741 Å, c = 11.7024 Å
α = 90.00°, β = 90.00°, γ = 90.00°
Space group I4/mmm (No. 139)
One atom of each set of equivalent atoms:
Sc 0.0000 0.0000 0.0000
Ir 0.0000 0.5000 0.2500
Se 0.0000 0.0000 0.3823

E above lowest polymorph = 0.03 eV/f.u.
Total magnetic moment = 0.0 μB per formula unit



# 14
The following is a PBE calculation of a relaxed ScRh2Cl crystal, from the Alexandria database.

a = 6.4072 Å, b = 6.4072 Å, c = 6.4072 Å
α = 90.00°, β = 90.00°, γ = 90.00°
Space group F-43m (No. 216)
One atom of each set of equivalent atoms:
Sc 0.0000 0.0000 0.0000
Rh 0.0000 0.0000 0.5000
Rh 0.2500 0.2500 0.7500
Cl 0.2500 0.2500 0.2500

E above lowest polymorph = 1.48 eV/f.u.
Total magnetic moment = 0.0 μB per formula unit



# 15
The following is a PBE calculation of a relaxed BaTl2Pd3 crystal, from the Alexandria database.

a = 10.7899 Å, b = 8.9797 Å, c = 6.2148 Å
α = 90.00°, β = 90.00°, γ = 90.00°
Space group Cmcm (No. 63)
One atom of each set of equivalent atoms:
Ba 0.0000 0.2027 0.2500
Tl 0.2145 0.5000 0.0000
Pd 0.0000 0.4275 0.7500
Pd 0.1920 0.2293 0.7500

Total magnetic moment = 0.0 μB per formula unit
Formation energy = -344 meV/atom



# 16
The following is a PBE calculation of a relaxed Nd4Sm2ErSc crystal, from the Alexandria database.

a = 5.0996 Å, b = 5.1224 Å, c = 10.0393 Å
α = 90.00°, β = 90.00°, γ = 90.00°
Space group Pmmm (No. 47)
One atom of each set of equivalent atoms:
Nd 0.0000 0.0000 0.2454
Nd 0.5000 0.5000 0.2462
Sm 0.0000 0.5000 0.0000
Sm 0.5000 0.0000 0.5000
Er 0.0000 0.5000 0.5000
Sc 0.5000 0.0000 0.0000

Total magnetic moment = 0.0 μB per formula unit
Formation energy = 29 meV/atom



no.,D(E_F) (states/eV per cell)
1,10.45
2,3.82
3,8.72
4,14.54
5,3.11
6,9.68
7,20.86
8,2.32
9,7.55
10,16.41
11,22.26
12,6.36
13,10.41
14,22.75
15,8.27
16,11.11